1.
Material: Y2AgOs
Method: DFT, PBE
State: optimized geometry

a = 3.0378 Å, b = 5.4162 Å, c = 11.0960 Å
α = 90.00°, β = 90.00°, γ = 90.00°
Space group Immm (No. 71)
Inequivalent atoms, fractional coordinates:
1 Y 0.0000 0.0000 0.2370 x4
2 Ag 0.0000 0.0000 0.5000 x2
3 Os 0.0000 0.0000 0.0000 x2

Formation enthalpy at 0 K: 0.8339 eV/atom
Total magnetization: 0.00 μB/f.u.

***

2.
Material: SrMgZr
Method: DFT, PBE
State: optimized geometry

a = 12.7554 Å, b = 3.5140 Å, c = 8.7676 Å
α = 90.00°, β = 111.98°, γ = 90.00°
Space group Cm (No. 8)
Inequivalent atoms, fractional coordinates:
1 Sr 0.0000 0.0000 0.0000 x2
2 Sr 0.1843 0.5000 0.7588 x2
3 Mg 0.1859 0.5000 0.3497 x2
4 Mg 0.3774 0.0000 0.5856 x2
5 Zr 0.3086 0.0000 0.1726 x2
6 Zr 0.4898 0.5000 0.3943 x2

Formation enthalpy at 0 K: 0.2059 eV/atom
Energy relative to the lowest polymorph listed for this composition: 0.058 eV/atom
Total magnetization: 0.00 μB/f.u.

***

3.
Material: LiPrTl3
Method: DFT, PBE
State: optimized geometry

a = 5.0967 Å, b = 5.0967 Å, c = 5.0967 Å
α = 90.00°, β = 90.00°, γ = 90.00°
Space group Pm-3m (No. 221)
Inequivalent atoms, fractional coordinates:
1 Li 0.0000 0.0000 0.0000 x1
2 Pr 0.5000 0.5000 0.5000 x1
3 Tl 0.0000 0.0000 0.5000 x3

Formation enthalpy at 0 K: -0.1194 eV/atom
Energy relative to the lowest polymorph listed for this composition: 0.058 eV/atom
Total magnetization: 0.00 μB/f.u.

***

4.
Material: NaUSeO6
Method: DFT, PBE
State: optimized geometry

a = 5.4450 Å, b = 5.4450 Å, c = 10.1591 Å
α = 90.00°, β = 90.00°, γ = 120.00°
Space group P-31c (No. 163)
Inequivalent atoms, fractional coordinates:
1 Na 0.0000 0.0000 0.0000 x2
2 U 0.3333 0.6667 0.2500 x2
3 Se 0.3333 0.6667 0.7500 x2
4 O 0.0269 0.3842 0.6458 x12

E_form (uncorrected): -1766 meV/atom
Total magnetization: 0.78 μB/f.u.

***

Result set for total energy: -5.92 -3.74 -2.88 -6.86 eV per atom, one per record in the order listed.